Entry 1:
GGA-PBE TlPPt2, relaxed; raw total energy = -5.16 eV/atom; ΔE_f = -200.2 meV per atom; magnetization = 0.0 μB per cell; ΔE to the lowest computed polymorph = 0 meV per atom; calculated volume = 89.96 Å³/f.u.
1.0
4.085 0.000 0.000
0.000 4.489 0.022
0.000 0.295 4.907
Tl P Pt
1 1 2
Direct
0.000 0.553 0.506
0.500 0.212 0.002
0.000 0.040 0.877
0.500 0.695 0.115



Entry 2:
GGA-PBE TlPPt2, relaxed; raw total energy = -4.90 eV/atom; ΔE_f = 65.6 meV per atom; magnetization = 0.0 μB per cell; ΔE to the lowest computed polymorph = 266 meV per atom; calculated volume = 70.51 Å³/f.u.
1.0
-0.252 2.922 -1.154
-3.141 -0.242 0.073
-0.047 2.604 6.605
Tl P Pt
1 1 2
Direct
0.500 0.500 0.000
0.500 0.500 0.500
0.000 0.000 0.695
0.000 0.000 0.305



Entry 3:
GGA-PBE Tl2PPt, relaxed; raw total energy = -3.61 eV/atom; ΔE_f = 438.6 meV per atom; magnetization = 0.0 μB per cell; ΔE to the lowest computed polymorph = 535 meV per atom; calculated volume = 85.27 Å³/f.u.
1.0
0.000 3.494 3.494
3.494 0.000 3.494
3.494 3.494 0.000
P Tl Pt
1 2 1
Direct
0.000 0.000 0.000
0.250 0.250 0.250
0.750 0.750 0.750
0.500 0.500 0.500



Entry 4:
GGA-PBE TlP2Pt, relaxed; raw total energy = -4.24 eV/atom; ΔE_f = 565.1 meV per atom; magnetization = 0.0 μB per cell; ΔE to the lowest computed polymorph = 838 meV per atom; calculated volume = 71.70 Å³/f.u.
1.0
3.876 -0.557 2.533
0.391 2.083 4.154
-0.113 -2.546 3.905
P Tl Pt
2 1 1
Direct
0.250 0.250 0.250
0.750 0.750 0.750
0.500 0.500 0.500
0.000 0.000 0.000



Entry 5:
GGA-PBE TlPPt2, relaxed; raw total energy = -4.55 eV/atom; ΔE_f = 412.8 meV per atom; magnetization = 0.0 μB per cell; ΔE to the lowest computed polymorph = 613 meV per atom; calculated volume = 70.93 Å³/f.u.
1.0
0.000 3.286 3.286
3.286 0.000 3.286
3.286 3.286 0.000
Tl P Pt
1 1 2
Direct
0.250 0.250 0.250
0.500 0.500 0.500
0.000 0.000 0.000
0.750 0.750 0.750



Entry 6:
GGA-PBE TlP2Pt, relaxed; raw total energy = -4.59 eV/atom; ΔE_f = 216.7 meV per atom; magnetization = 0.0 μB per cell; ΔE to the lowest computed polymorph = 490 meV per atom; calculated volume = 87.09 Å³/f.u.
1.0
-1.799 -3.610 -4.113
-4.492 -3.009 1.987
2.170 5.091 -1.598
P Pt Tl
2 1 1
Direct
0.941 0.941 0.000
0.559 0.559 0.000
0.750 0.250 0.500
0.250 0.750 0.500



Entry 7:
GGA-PBE TlPPt2, relaxed; raw total energy = -5.12 eV/atom; ΔE_f = -160.2 meV per atom; magnetization = 0.0 μB per cell; ΔE to the lowest computed polymorph = 40 meV per atom; calculated volume = 88.56 Å³/f.u.
1.0
-0.862 0.994 4.750
4.011 -2.570 1.265
5.615 5.256 2.476
P Tl Pt
2 2 4
Direct
0.500 0.500 0.000
0.250 0.750 0.500
0.000 0.000 0.000
0.750 0.250 0.500
0.514 0.125 0.250
0.236 0.625 0.250
0.375 0.486 0.750
0.875 0.764 0.750



Entry 8:
GGA-PBE TlP2Pt, relaxed; raw total energy = -4.88 eV/atom; ΔE_f = -70.1 meV per atom; magnetization = 0.0 μB per cell; ΔE to the lowest computed polymorph = 203 meV per atom; calculated volume = 92.57 Å³/f.u.
1.0
-1.698 -2.681 1.089
3.177 -2.709 -1.714
2.527 0.665 5.576
P Pt Tl
2 1 1
Direct
0.000 0.034 0.280
0.500 0.222 0.105
0.000 0.556 0.367
0.500 0.688 0.749